A plane-wave DFT calculation with GGA-PBE was carried out for Na2B3C after structural relaxation.

Cell and atoms, written as POSCAR:
```
Na2B3C
1.0
11.5889 -1.4194 0.0000
11.5889 1.4194 0.0000
-2.8876 0.0000 9.6294
Na B C
10 15 5
Direct
0.0000 0.0000 0.0000
0.1009 0.1009 0.6980
0.2000 0.2000 0.3987
0.3012 0.3012 0.0951
0.3989 0.3989 0.7990
0.5004 0.5004 0.4960
0.5998 0.5998 0.2036
0.7014 0.7014 0.8968
0.7995 0.7995 0.5962
0.8993 0.8993 0.2954
0.0195 0.0195 0.2872
0.0893 0.0893 0.4254
0.1275 0.1275 0.0031
0.2769 0.2769 0.8008
0.3092 0.3092 0.3659
0.3761 0.3761 0.4990
0.4794 0.4794 0.2072
0.5229 0.5229 0.7935
0.5863 0.5863 0.9198
0.6839 0.6839 0.6134
0.7176 0.7176 0.1832
0.8172 0.8172 0.8827
0.8857 0.8857 0.0198
0.9158 0.9158 0.5792
0.9800 0.9800 0.7079
0.1869 0.1869 0.1225
0.2152 0.2152 0.6759
0.4172 0.4172 0.0835
0.6204 0.6204 0.4864
0.7794 0.7794 0.3066
```

Calculated values
**SG**: Cm (8)
**Offset from the most stable computed form**: 17 meV per atom
**Energy of formation**: 0.151 eV per atom



A plane-wave DFT calculation with GGA-PBE was carried out for Na5B8C2 after structural relaxation.

Cell and atoms, written as POSCAR:
```
Na5B8C2
1.0
7.3938 -2.5194 0.0000
7.3938 2.5194 0.0000
-5.8964 0.0000 8.6539
Na B C
10 16 4
Direct
0.0000 0.0000 0.0000
0.0000 0.0000 0.5000
0.1978 0.2002 0.9984
0.2002 0.1978 0.4984
0.3977 0.4034 0.5017
0.4034 0.3977 0.0017
0.5966 0.6023 0.9983
0.6023 0.5966 0.4983
0.7998 0.8022 0.5016
0.8022 0.7998 0.0016
0.0465 0.3660 0.2501
0.1704 0.8296 0.7500
0.1804 0.8196 0.2500
0.2114 0.5708 0.2495
0.2295 0.5679 0.7496
0.3660 0.0465 0.7501
0.4292 0.7886 0.2505
0.4321 0.7705 0.7504
0.5679 0.2295 0.2496
0.5708 0.2114 0.7495
0.6340 0.9535 0.2499
0.7705 0.4321 0.2504
0.7886 0.4292 0.7505
0.8196 0.1804 0.7500
0.8296 0.1704 0.2500
0.9535 0.6340 0.7499
0.0404 0.3640 0.7506
0.3640 0.0404 0.2506
0.6360 0.9596 0.7494
0.9596 0.6360 0.2494
```

Calculated values
**SG**: C2/c (15)
**Offset from the most stable computed form**: 29 meV per atom
**Energy of formation**: 0.199 eV per atom



A plane-wave DFT calculation with GGA-PBE was carried out for Na2B3C after structural relaxation.

Cell and atoms, written as POSCAR:
```
Na2B3C
1.0
2.9141 0.0000 0.0000
-1.4571 2.5237 0.0000
0.0000 0.0000 25.7332
Na B C
6 9 3
Direct
0.0000 0.0000 0.0000
0.0000 0.0000 0.1639
0.0000 0.0000 0.3277
0.0000 0.0000 0.4970
0.0000 0.0000 0.6666
0.0000 0.0000 0.8313
0.3333 0.6667 0.2456
0.3333 0.6667 0.4122
0.3333 0.6667 0.5820
0.3333 0.6667 0.9156
0.6667 0.3333 0.0824
0.6667 0.3333 0.4122
0.6667 0.3333 0.5820
0.6667 0.3333 0.7487
0.6667 0.3333 0.9156
0.3333 0.6667 0.0825
0.3333 0.6667 0.7486
0.6667 0.3333 0.2456
```

Calculated values
**SG**: P3m1 (156)
**Offset from the most stable computed form**: 58 meV per atom
**Energy of formation**: 0.191 eV per atom



A plane-wave DFT calculation with GGA-PBE was carried out for Na5B6C4 after structural relaxation.

Cell and atoms, written as POSCAR:
```
Na5B6C4
1.0
8.4817 0.0000 0.0000
0.0000 1.4161 12.4876
0.0000 -1.4161 12.4876
Na B C
10 12 8
Direct
0.2475 0.0000 0.0000
0.2480 0.5999 0.5999
0.2486 0.8000 0.8000
0.2501 0.1999 0.1999
0.2501 0.4001 0.4001
0.7499 0.1999 0.1999
0.7499 0.4001 0.4001
0.7514 0.8000 0.8000
0.7520 0.5999 0.5999
0.7525 0.0000 0.0000
0.0000 0.0665 0.0665
0.0000 0.2663 0.2663
0.0000 0.4662 0.4662
0.0000 0.6663 0.6663
0.0000 0.8661 0.8661
0.5000 0.1272 0.1272
0.5000 0.3307 0.3307
0.5000 0.5332 0.5332
0.5000 0.6668 0.6668
0.5000 0.7359 0.7359
0.5000 0.8690 0.8690
0.5000 0.9387 0.9387
0.0000 0.1329 0.1329
0.0000 0.3329 0.3329
0.0000 0.5329 0.5329
0.0000 0.7328 0.7328
0.0000 0.9329 0.9329
0.5000 0.0641 0.0641
0.5000 0.2668 0.2668
0.5000 0.4689 0.4689
```

Calculated values
**SG**: Amm2 (38)
**Offset from the most stable computed form**: 15 meV per atom
**Energy of formation**: 0.067 eV per atom



| no. | DOS(E_F) (states/eV per atom) | electronic total energy (eV per cell) | magnetization (μB/f.u.) |
| --- | --- | --- | --- |
| 1 | 0.25 | -154.953 | 0.00 |
| 2 | 0.16 | -150.951 | 0.00 |
| 3 | 0.32 | -92.245 | 0.00 |
| 4 | 0.20 | -165.092 | 0.00 |